La3CoPb PBE relaxed; total magnetization = 0.00 μB per cell; energy relative to the lowest polymorph listed for this composition = 0.046 eV per atom; energy of formation = -349 meV per atom; SG = No. 2
1.0
-2.527 -1.508 -6.385
-7.914 -2.382 -1.605
-2.829 5.527 -0.544
La Co Pb
6 2 2
Direct
0.820 0.495 0.627
0.398 0.989 0.742
0.280 0.805 0.273
0.702 0.311 0.158
0.148 0.417 0.137
0.952 0.883 0.763
0.378 0.634 0.899
0.722 0.666 0.001
0.400 0.394 0.637
0.700 0.906 0.263